Entry 1:
# Zr5Sc7

A geometry-optimized Zr5Sc7 structure (PBE, Alexandria via LeMat-Bulk).

Results
As for the energy of formation: 0.2 eV per formula unit. As for the symmetry: Cm, No. 8.

a = 7.226 Å, b = 7.226 Å, c = 10.245 Å
α = 115.28°, β = 115.28°, γ = 36.53°
Sites, in units of the cell vectors:
Zr: 0.000 0.000 0.000
Zr: 0.080 0.080 0.757
Zr: 0.174 0.174 0.509
Zr: 0.420 0.420 0.758
Zr: 0.834 0.834 0.513
Sc: 0.251 0.251 0.262
Sc: 0.337 0.337 0.004
Sc: 0.502 0.502 0.512
Sc: 0.587 0.587 0.260
Sc: 0.663 0.663 0.002
Sc: 0.753 0.753 0.756
Sc: 0.922 0.922 0.262

***

Entry 2:
# ZrSc3

A geometry-optimized ZrSc3 structure (PBE, Alexandria via LeMat-Bulk).

Results
The offset from the most stable computed form comes out at 3 meV/atom. As for the energy of formation: 0.0 eV per formula unit. As for the symmetry: Pmmn, No. 59.

a = 5.124 Å, b = 6.566 Å, c = 5.692 Å
α = 90.00°, β = 90.00°, γ = 90.00°
Sites, in units of the cell vectors:
Zr: 0.250 0.250 0.165
Zr: 0.750 0.750 0.835
Sc: 0.250 0.002 0.667
Sc: 0.250 0.498 0.667
Sc: 0.250 0.750 0.162
Sc: 0.750 0.250 0.838
Sc: 0.750 0.502 0.333
Sc: 0.750 0.998 0.333

***

Entry 3:
# ZrSc3

A geometry-optimized ZrSc3 structure (PBE, Alexandria via LeMat-Bulk).

Results
The offset from the most stable computed form comes out at 140 meV/atom. As for the energy of formation: 0.5 eV per formula unit. As for the symmetry: Fm-3m, No. 225.

a = 5.136 Å, b = 5.136 Å, c = 5.136 Å
α = 60.00°, β = 60.00°, γ = 60.00°
Sites, in units of the cell vectors:
Zr: 0.000 0.000 0.000
Sc: 0.250 0.250 0.250
Sc: 0.500 0.500 0.500
Sc: 0.750 0.750 0.750

***

Entry 4:
# Zr3Sc

A geometry-optimized Zr3Sc structure (PBE, Alexandria via LeMat-Bulk).

Results
The offset from the most stable computed form comes out at 60 meV/atom. As for the energy of formation: 0.1 eV per formula unit. As for the symmetry: P-1, No. 2.

a = 3.187 Å, b = 5.538 Å, c = 5.578 Å
α = 99.25°, β = 90.23°, γ = 106.64°
Sites, in units of the cell vectors:
Zr: 0.000 0.000 0.000
Zr: 0.252 0.502 0.749
Zr: 0.748 0.498 0.251
Sc: 0.500 0.000 0.500

***

Entry 5:
# Zr3Sc

A geometry-optimized Zr3Sc structure (PBE, Alexandria via LeMat-Bulk).

Results
The offset from the most stable computed form comes out at 54 meV/atom. As for the energy of formation: 0.1 eV per formula unit. As for the symmetry: I4/mmm, No. 139.

a = 5.545 Å, b = 5.545 Å, c = 5.545 Å
α = 131.78°, β = 131.78°, γ = 70.58°
Sites, in units of the cell vectors:
Zr: 0.000 0.000 0.000
Zr: 0.250 0.750 0.500
Zr: 0.750 0.250 0.500
Sc: 0.500 0.500 0.000

***

Entry 6:
# ZrSc2

A geometry-optimized ZrSc2 structure (PBE, Alexandria via LeMat-Bulk).

Results
As for the energy of formation: 0.0 eV per formula unit. As for the symmetry: R32, No. 155.

a = 6.091 Å, b = 6.091 Å, c = 6.091 Å
α = 55.52°, β = 55.52°, γ = 55.52°
Sites, in units of the cell vectors:
Zr: 0.169 0.169 0.169
Zr: 0.831 0.831 0.831
Sc: 0.000 0.671 0.329
Sc: 0.329 0.000 0.671
Sc: 0.500 0.500 0.500
Sc: 0.671 0.329 0.000

***

Entry 7:
# Zr2Sc3

A geometry-optimized Zr2Sc3 structure (PBE, Alexandria via LeMat-Bulk).

Results
The offset from the most stable computed form comes out at 216 meV/atom. As for the energy of formation: 1.2 eV per formula unit. As for the symmetry: R-3m, No. 166.

a = 5.149 Å, b = 5.149 Å, c = 5.149 Å
α = 74.85°, β = 74.85°, γ = 74.85°
Sites, in units of the cell vectors:
Zr: 0.119 0.119 0.119
Zr: 0.881 0.881 0.881
Sc: 0.000 0.500 0.500
Sc: 0.500 0.000 0.500
Sc: 0.500 0.500 0.000

***

Entry 8:
# ZrSc3

A geometry-optimized ZrSc3 structure (PBE, Alexandria via LeMat-Bulk).

Results
The offset from the most stable computed form comes out at 6 meV/atom. As for the energy of formation: 0.0 eV per formula unit. As for the symmetry: Pmm2, No. 25.

a = 3.268 Å, b = 5.130 Å, c = 5.720 Å
α = 90.00°, β = 90.00°, γ = 90.00°
Sites, in units of the cell vectors:
Zr: 0.000 0.000 0.000
Sc: 0.000 0.500 0.671
Sc: 0.500 0.000 0.494
Sc: 0.500 0.500 0.162

***

Entry 9:
# Zr3Sc

A geometry-optimized Zr3Sc structure (PBE, Alexandria via LeMat-Bulk).

Results
The offset from the most stable computed form comes out at 52 meV/atom. As for the energy of formation: 0.1 eV per formula unit. As for the symmetry: Pm-3m, No. 221.

a = 4.531 Å, b = 4.531 Å, c = 4.531 Å
α = 90.00°, β = 90.00°, γ = 90.00°
Sites, in units of the cell vectors:
Zr: 0.000 0.000 0.500
Zr: 0.000 0.500 0.000
Zr: 0.500 0.000 0.000
Sc: 0.500 0.500 0.500

***

Entry 10:
# Se

A geometry-optimized Se structure (PBE, Alexandria via LeMat-Bulk).

Results
The value obtained for the formation energy without anion corrections is 0.2900 eV/atom. The offset from the most stable computed form comes out at 290 meV/atom. As for the symmetry: P6_3/mmc, No. 194.

a = 4.334 Å, b = 4.334 Å, c = 9.915 Å
α = 90.00°, β = 90.00°, γ = 120.00°
Sites, in units of the cell vectors:
Se: 0.333 0.667 0.033
Se: 0.333 0.667 0.467
Se: 0.667 0.333 0.533
Se: 0.667 0.333 0.967

***

Entry 11:
# Se

A geometry-optimized Se structure (PBE, Alexandria via LeMat-Bulk).

Results
The value obtained for the formation energy without anion corrections is 0.0014 eV/atom. The offset from the most stable computed form comes out at 1 meV/atom. As for the symmetry: P3_221, No. 154.

a = 4.473 Å, b = 4.473 Å, c = 5.058 Å
α = 90.00°, β = 90.00°, γ = 120.00°
Sites, in units of the cell vectors:
Se: 0.000 0.222 0.333
Se: 0.222 0.000 0.667
Se: 0.778 0.778 0.000

***

Entry 12:
# Se

A geometry-optimized Se structure (PBE, Alexandria via LeMat-Bulk).

Results
The value obtained for the formation energy without anion corrections is 0.3594 eV/atom. The offset from the most stable computed form comes out at 359 meV/atom. As for the symmetry: P6_3/mmc, No. 194.

a = 3.650 Å, b = 3.650 Å, c = 3.854 Å
α = 90.00°, β = 90.00°, γ = 120.00°
Sites, in units of the cell vectors:
Se: 0.333 0.667 0.250
Se: 0.667 0.333 0.750

***

Entry 13:
# Se

A geometry-optimized Se structure (PBE, Alexandria via LeMat-Bulk).

Results
The value obtained for the formation energy without anion corrections is 0.2661 eV/atom. The offset from the most stable computed form comes out at 266 meV/atom. As for the symmetry: I4_1/amd, No. 141.

a = 4.073 Å, b = 4.073 Å, c = 4.073 Å
α = 103.06°, β = 103.06°, γ = 123.23°
Sites, in units of the cell vectors:
Se: 0.375 0.625 0.750
Se: 0.625 0.375 0.250

***

Values for M_tot, μB/cell, ordered as above
0.0 0.0 1.7 0.0 0.0 0.0 0.0 0.0 0.0 0.0 0.0 0.0 0.0
Values for uncorrected energy, eV per atom, ordered as above
-7.236 -6.893 -6.757 -7.963 -7.970 -7.083 -6.986 -6.890 -7.971 -3.195 -3.483 -3.125 -3.218